one) ZrCo2W after structural relaxation. Source: the Alexandria database, functional PBE-GGA.

Lattice parameters (Å, degrees): 3.040 4.039 5.022 90.00 107.39 90.00
Positions (direct):
1 Zr 0.000 0.000 0.000
2 Co 0.566 0.500 0.132
3 Co 0.733 0.000 0.473
4 W 0.282 0.500 0.567

## Properties
Total magnetic moment: 0.000 μB/atom
Space-group type: Pm

***

two) ZrCo2W after structural relaxation. Source: the Alexandria database, functional PBE-GGA.

Lattice parameters (Å, degrees): 2.803 3.591 5.794 90.00 90.00 90.00
Positions (direct):
1 Zr 0.000 0.000 0.000
2 Co 0.500 0.500 0.279
3 Co 0.500 0.500 0.721
4 W 0.000 0.000 0.500

## Properties
Total magnetic moment: 0.000 μB/atom
Space-group type: Pmmm

***

Last place for stability: two)

***

one) Zr3CoW after structural relaxation. Source: the Alexandria database, functional PBE-GGA.

Lattice parameters (Å, degrees): 5.028 5.028 5.028 90.00 90.00 90.00
Positions (direct):
1 Zr 0.000 0.000 0.500
2 Zr 0.000 0.500 0.000
3 Zr 0.500 0.000 0.000
4 Co 0.500 0.500 0.500
5 W 0.000 0.000 0.000

## Properties
Total magnetic moment: 0.000 μB/atom
Space-group type: Pm-3m

***

two) Zr3CoW after structural relaxation. Source: the Alexandria database, functional PBE-GGA.

Lattice parameters (Å, degrees): 4.734 4.734 4.734 90.00 90.00 90.00
Positions (direct):
1 Zr 0.000 0.000 0.500
2 Zr 0.000 0.500 0.000
3 Zr 0.500 0.000 0.000
4 Co 0.000 0.000 0.000
5 W 0.500 0.500 0.500

## Properties
Total magnetic moment: 0.000 μB/atom
Space-group type: Pm-3m

***

Last place for stability: one)

***

one) Zr2CoW after structural relaxation. Source: the Alexandria database, functional PBE-GGA.

Lattice parameters (Å, degrees): 3.485 4.873 8.327 90.00 90.00 90.00
Positions (direct):
1 Zr 0.000 0.000 0.227
2 Zr 0.000 0.000 0.773
3 Zr 0.500 0.500 0.273
4 Zr 0.500 0.500 0.727
5 Co 0.000 0.500 0.500
6 Co 0.500 0.000 0.000
7 W 0.000 0.500 0.000
8 W 0.500 0.000 0.500

## Properties
Total magnetic moment: 0.000 μB/atom
Space-group type: Immm

***

two) Zr2CoW after structural relaxation. Source: the Alexandria database, functional PBE-GGA.

Lattice parameters (Å, degrees): 4.627 4.627 3.295 90.00 90.00 90.00
Positions (direct):
1 Zr 0.000 0.500 0.000
2 Zr 0.500 0.000 0.000
3 Co 0.000 0.000 0.500
4 W 0.500 0.500 0.500

## Properties
Total magnetic moment: 0.000 μB/atom
Space-group type: P4/mmm

***

Last place for stability: one)